LaPrNd2P4: relaxed, PBE.

Lattice parameters (Å, degrees): 7.279 4.205 7.280 90.00 109.43 90.00
Positions (direct):
1 La 0.000 0.000 0.000
2 Pr 0.500 0.500 0.000
3 Nd 0.000 0.500 0.500
4 Nd 0.500 0.000 0.500
5 P 0.250 0.000 0.747
6 P 0.252 0.500 0.254
7 P 0.748 0.500 0.746
8 P 0.750 0.000 0.253

The calculation puts the total energy at -6.652 eV/atom. Its density of states at the Fermi level is 0.76 states/eV per cell. The value obtained for the formation energy is -1.542 eV per atom. The total magnetization is 0.0 μB/cell. Its space group is No. 10.